# 1
# Al2ZnCu | Alexandria via LeMat-Bulk | GGA-PBEsol | optimized geometry
# * theoretical density: 5335 kg/m³
# * space-group type: No. 160
# * ΔH_f (0 K): -0.147 eV/f.u.
data_Al2ZnCu
_cell_length_a 8.588
_cell_length_b 8.588
_cell_length_c 8.588
_cell_angle_alpha 18.71
_cell_angle_beta 18.71
_cell_angle_gamma 18.71
_symmetry_space_group_name_H-M 'P 1'
_symmetry_Int_Tables_number 1
loop_
_symmetry_equiv_pos_as_xyz
'x,y,z'
loop_
_atom_site_label
_atom_site_fract_x
_atom_site_fract_y
_atom_site_fract_z
Al1 0.000 0.000 0.000
Al2 0.242 0.242 0.242
Zn1 0.489 0.489 0.489
Cu1 0.744 0.744 0.744

# 2
# Al2ZnCu | Alexandria via LeMat-Bulk | GGA-PBEsol | optimized geometry
# * theoretical density: 5343 kg/m³
# * space-group type: No. 8
# * ΔH_f (0 K): -0.145 eV/f.u.
data_Al2ZnCu
_cell_length_a 4.774
_cell_length_b 4.774
_cell_length_c 4.659
_cell_angle_alpha 100.56
_cell_angle_beta 100.56
_cell_angle_gamma 33.05
_symmetry_space_group_name_H-M 'P 1'
_symmetry_Int_Tables_number 1
loop_
_symmetry_equiv_pos_as_xyz
'x,y,z'
loop_
_atom_site_label
_atom_site_fract_x
_atom_site_fract_y
_atom_site_fract_z
Al1 0.000 0.000 0.000
Al2 0.238 0.238 0.713
Zn1 0.479 0.479 0.481
Cu1 0.742 0.742 0.213

# 3
# Al2ZnCu | Alexandria via LeMat-Bulk | GGA-PBEsol | optimized geometry
# * theoretical density: 5351 kg/m³
# * space-group type: No. 139
# * ΔH_f (0 K): -0.140 eV/f.u.
data_Al2ZnCu
_cell_length_a 4.630
_cell_length_b 4.630
_cell_length_c 4.630
_cell_angle_alpha 130.07
_cell_angle_beta 130.07
_cell_angle_gamma 73.30
_symmetry_space_group_name_H-M 'P 1'
_symmetry_Int_Tables_number 1
loop_
_symmetry_equiv_pos_as_xyz
'x,y,z'
loop_
_atom_site_label
_atom_site_fract_x
_atom_site_fract_y
_atom_site_fract_z
Al1 0.250 0.750 0.500
Al2 0.750 0.250 0.500
Zn1 0.000 0.000 0.000
Cu1 0.500 0.500 0.000

# 4
# AlZnCu | Alexandria via LeMat-Bulk | GGA-PBEsol | optimized geometry
# * theoretical density: 5629 kg/m³
# * space-group type: No. 216
# * ΔH_f (0 K): -0.108 eV/f.u.
data_AlZnCu
_cell_length_a 4.022
_cell_length_b 4.022
_cell_length_c 4.022
_cell_angle_alpha 60.00
_cell_angle_beta 60.00
_cell_angle_gamma 60.00
_symmetry_space_group_name_H-M 'P 1'
_symmetry_Int_Tables_number 1
loop_
_symmetry_equiv_pos_as_xyz
'x,y,z'
loop_
_atom_site_label
_atom_site_fract_x
_atom_site_fract_y
_atom_site_fract_z
Al1 0.000 0.000 0.000
Zn1 0.500 0.500 0.500
Cu1 0.250 0.250 0.250

# 5
# Al2ZnCu | Alexandria via LeMat-Bulk | GGA-PBEsol | optimized geometry
# * theoretical density: 5313 kg/m³
# * space-group type: No. 123
# * ΔH_f (0 K): -0.233 eV/f.u.
data_Al2ZnCu
_cell_length_a 2.750
_cell_length_b 2.750
_cell_length_c 7.558
_cell_angle_alpha 90.00
_cell_angle_beta 90.00
_cell_angle_gamma 90.00
_symmetry_space_group_name_H-M 'P 1'
_symmetry_Int_Tables_number 1
loop_
_symmetry_equiv_pos_as_xyz
'x,y,z'
loop_
_atom_site_label
_atom_site_fract_x
_atom_site_fract_y
_atom_site_fract_z
Al1 0.000 0.000 0.228
Al2 0.000 0.000 0.772
Zn1 0.500 0.500 0.500
Cu1 0.500 0.500 0.000

# 6
# Al2ZnCu | Alexandria via LeMat-Bulk | GGA-PBEsol | optimized geometry
# * theoretical density: 5364 kg/m³
# * space-group type: No. 25
# * ΔH_f (0 K): -0.156 eV/f.u.
data_Al2ZnCu
_cell_length_a 2.760
_cell_length_b 3.791
_cell_length_c 5.412
_cell_angle_alpha 90.00
_cell_angle_beta 90.00
_cell_angle_gamma 90.00
_symmetry_space_group_name_H-M 'P 1'
_symmetry_Int_Tables_number 1
loop_
_symmetry_equiv_pos_as_xyz
'x,y,z'
loop_
_atom_site_label
_atom_site_fract_x
_atom_site_fract_y
_atom_site_fract_z
Al1 0.000 0.000 0.000
Al2 0.500 0.500 0.276
Zn1 0.500 0.500 0.755
Cu1 0.000 0.000 0.501

# 7
# AlZnCu | Alexandria via LeMat-Bulk | GGA-PBEsol | optimized geometry
# * theoretical density: 6342 kg/m³
# * space-group type: No. 156
# * ΔH_f (0 K): -0.132 eV/f.u.
data_AlZnCu
_cell_length_a 2.750
_cell_length_b 2.750
_cell_length_c 6.237
_cell_angle_alpha 90.00
_cell_angle_beta 90.00
_cell_angle_gamma 120.00
_symmetry_space_group_name_H-M 'P 1'
_symmetry_Int_Tables_number 1
loop_
_symmetry_equiv_pos_as_xyz
'x,y,z'
loop_
_atom_site_label
_atom_site_fract_x
_atom_site_fract_y
_atom_site_fract_z
Al1 0.000 0.000 0.000
Zn1 0.667 0.333 0.359
Cu1 0.333 0.667 0.681

# 8
# Al2ZnCu | Alexandria via LeMat-Bulk | GGA-PBEsol | optimized geometry
# * theoretical density: 5316 kg/m³
# * space-group type: No. 166
# * ΔH_f (0 K): -0.219 eV/f.u.
data_Al2ZnCu
_cell_length_a 8.376
_cell_length_b 8.376
_cell_length_c 8.376
_cell_angle_alpha 19.48
_cell_angle_beta 19.48
_cell_angle_gamma 19.48
_symmetry_space_group_name_H-M 'P 1'
_symmetry_Int_Tables_number 1
loop_
_symmetry_equiv_pos_as_xyz
'x,y,z'
loop_
_atom_site_label
_atom_site_fract_x
_atom_site_fract_y
_atom_site_fract_z
Al1 0.246 0.246 0.246
Al2 0.754 0.754 0.754
Zn1 0.000 0.000 0.000
Cu1 0.500 0.500 0.500

# 9
# Al2ZnCu | Alexandria via LeMat-Bulk | GGA-PBEsol | optimized geometry
# * theoretical density: 5330 kg/m³
# * space-group type: No. 12
# * ΔH_f (0 K): -0.190 eV/f.u.
data_Al2ZnCu
_cell_length_a 4.447
_cell_length_b 4.447
_cell_length_c 4.897
_cell_angle_alpha 101.02
_cell_angle_beta 101.02
_cell_angle_gamma 36.92
_symmetry_space_group_name_H-M 'P 1'
_symmetry_Int_Tables_number 1
loop_
_symmetry_equiv_pos_as_xyz
'x,y,z'
loop_
_atom_site_label
_atom_site_fract_x
_atom_site_fract_y
_atom_site_fract_z
Al1 0.245 0.245 0.240
Al2 0.755 0.755 0.760
Zn1 0.000 0.000 0.500
Cu1 0.500 0.500 0.000

# 10
# Zr2AlCu | Alexandria via LeMat-Bulk | GGA-PBEsol | optimized geometry
# * theoretical density: 6422 kg/m³
# * space-group type: No. 47
# * ΔH_f (0 K): -1.022 eV/f.u.
data_Zr2AlCu
_cell_length_a 3.152
_cell_length_b 3.937
_cell_length_c 5.688
_cell_angle_alpha 90.00
_cell_angle_beta 90.00
_cell_angle_gamma 90.00
_symmetry_space_group_name_H-M 'P 1'
_symmetry_Int_Tables_number 1
loop_
_symmetry_equiv_pos_as_xyz
'x,y,z'
loop_
_atom_site_label
_atom_site_fract_x
_atom_site_fract_y
_atom_site_fract_z
Zr1 0.000 0.000 0.243
Zr2 0.000 0.000 0.757
Al1 0.500 0.500 0.500
Cu1 0.500 0.500 0.000

# 11
# Zr2AlCu | Alexandria via LeMat-Bulk | GGA-PBEsol | optimized geometry
# * theoretical density: 6389 kg/m³
# * space-group type: No. 65
# * ΔH_f (0 K): -1.008 eV/f.u.
data_Zr2AlCu
_cell_length_a 4.845
_cell_length_b 4.845
_cell_length_c 3.149
_cell_angle_alpha 90.00
_cell_angle_beta 90.00
_cell_angle_gamma 106.28
_symmetry_space_group_name_H-M 'P 1'
_symmetry_Int_Tables_number 1
loop_
_symmetry_equiv_pos_as_xyz
'x,y,z'
loop_
_atom_site_label
_atom_site_fract_x
_atom_site_fract_y
_atom_site_fract_z
Zr1 0.000 0.500 0.000
Zr2 0.500 0.000 0.000
Al1 0.000 0.000 0.500
Cu1 0.500 0.500 0.500

# 12
# Zr2AlCu | Alexandria via LeMat-Bulk | GGA-PBEsol | optimized geometry
# * theoretical density: 6396 kg/m³
# * space-group type: No. 139
# * ΔH_f (0 K): -1.054 eV/f.u.
data_Zr2AlCu
_cell_length_a 4.913
_cell_length_b 4.913
_cell_length_c 4.913
_cell_angle_alpha 128.38
_cell_angle_beta 128.38
_cell_angle_gamma 76.01
_symmetry_space_group_name_H-M 'P 1'
_symmetry_Int_Tables_number 1
loop_
_symmetry_equiv_pos_as_xyz
'x,y,z'
loop_
_atom_site_label
_atom_site_fract_x
_atom_site_fract_y
_atom_site_fract_z
Zr1 0.250 0.750 0.500
Zr2 0.750 0.250 0.500
Al1 0.000 0.000 0.000
Cu1 0.500 0.500 0.000

# 13
# Zr2AlCu2 | Alexandria via LeMat-Bulk | GGA-PBEsol | optimized geometry
# * theoretical density: 6757 kg/m³
# * space-group type: No. 15
# * ΔH_f (0 K): -1.463 eV/f.u.
data_Zr2AlCu2
_cell_length_a 5.209
_cell_length_b 5.209
_cell_length_c 7.263
_cell_angle_alpha 101.84
_cell_angle_beta 101.84
_cell_angle_gamma 59.76
_symmetry_space_group_name_H-M 'P 1'
_symmetry_Int_Tables_number 1
loop_
_symmetry_equiv_pos_as_xyz
'x,y,z'
loop_
_atom_site_label
_atom_site_fract_x
_atom_site_fract_y
_atom_site_fract_z
Zr1 0.012 0.283 0.144
Zr2 0.283 0.012 0.644
Zr3 0.717 0.988 0.356
Zr4 0.988 0.717 0.856
Al1 0.329 0.671 0.250
Al2 0.671 0.329 0.750
Cu1 0.234 0.498 0.503
Cu2 0.498 0.234 0.003
Cu3 0.502 0.766 0.997
Cu4 0.766 0.502 0.497

# 14
# ZrAl4Cu2 | Alexandria via LeMat-Bulk | GGA-PBEsol | optimized geometry
# * theoretical density: 5095 kg/m³
# * space-group type: No. 11
# * ΔH_f (0 K): -2.457 eV/f.u.
data_ZrAl4Cu2
_cell_length_a 6.391
_cell_length_b 4.039
_cell_length_c 8.751
_cell_angle_alpha 90.00
_cell_angle_beta 109.72
_cell_angle_gamma 90.00
_symmetry_space_group_name_H-M 'P 1'
_symmetry_Int_Tables_number 1
loop_
_symmetry_equiv_pos_as_xyz
'x,y,z'
loop_
_atom_site_label
_atom_site_fract_x
_atom_site_fract_y
_atom_site_fract_z
Zr1 0.143 0.250 0.281
Zr2 0.857 0.750 0.719
Al1 0.101 0.250 0.618
Al2 0.115 0.250 0.938
Al3 0.442 0.750 0.860
Al4 0.485 0.750 0.377
Al5 0.515 0.250 0.623
Al6 0.558 0.250 0.140
Al7 0.885 0.750 0.062
Al8 0.899 0.750 0.382
Cu1 0.279 0.750 0.563
Cu2 0.284 0.750 0.081
Cu3 0.716 0.250 0.919
Cu4 0.721 0.250 0.437

# 15
# ZrAl3Cu3 | Alexandria via LeMat-Bulk | GGA-PBEsol | optimized geometry
# * theoretical density: 5853 kg/m³
# * space-group type: No. 59
# * ΔH_f (0 K): -2.030 eV/f.u.
data_ZrAl3Cu3
_cell_length_a 4.038
_cell_length_b 6.497
_cell_length_c 7.848
_cell_angle_alpha 90.00
_cell_angle_beta 90.00
_cell_angle_gamma 90.00
_symmetry_space_group_name_H-M 'P 1'
_symmetry_Int_Tables_number 1
loop_
_symmetry_equiv_pos_as_xyz
'x,y,z'
loop_
_atom_site_label
_atom_site_fract_x
_atom_site_fract_y
_atom_site_fract_z
Zr1 0.250 0.250 0.243
Zr2 0.750 0.750 0.757
Al1 0.250 0.045 0.617
Al2 0.250 0.455 0.617
Al3 0.250 0.750 0.122
Al4 0.750 0.250 0.878
Al5 0.750 0.545 0.383
Al6 0.750 0.955 0.383
Cu1 0.250 0.036 0.919
Cu2 0.250 0.464 0.919
Cu3 0.250 0.750 0.439
Cu4 0.750 0.250 0.561
Cu5 0.750 0.536 0.081
Cu6 0.750 0.964 0.081

# 16
# Zr2AlCu | Alexandria via LeMat-Bulk | GGA-PBEsol | optimized geometry
# * theoretical density: 6430 kg/m³
# * space-group type: No. 74
# * ΔH_f (0 K): -1.073 eV/f.u.
data_Zr2AlCu
_cell_length_a 5.801
_cell_length_b 5.801
_cell_length_c 5.801
_cell_angle_alpha 122.80
_cell_angle_beta 94.05
_cell_angle_gamma 112.81
_symmetry_space_group_name_H-M 'P 1'
_symmetry_Int_Tables_number 1
loop_
_symmetry_equiv_pos_as_xyz
'x,y,z'
loop_
_atom_site_label
_atom_site_fract_x
_atom_site_fract_y
_atom_site_fract_z
Zr1 0.278 0.000 0.778
Zr2 0.278 0.500 0.278
Zr3 0.722 0.000 0.222
Zr4 0.722 0.500 0.722
Al1 0.203 0.453 0.750
Al2 0.797 0.547 0.250
Cu1 0.203 0.953 0.250
Cu2 0.797 0.047 0.750

# 17
# Zr2Al3Cu | Alexandria via LeMat-Bulk | GGA-PBEsol | optimized geometry
# * theoretical density: 5280 kg/m³
# * space-group type: No. 191
# * ΔH_f (0 K): -2.737 eV/f.u.
data_Zr2Al3Cu
_cell_length_a 8.602
_cell_length_b 8.602
_cell_length_c 3.209
_cell_angle_alpha 90.00
_cell_angle_beta 90.00
_cell_angle_gamma 120.00
_symmetry_space_group_name_H-M 'P 1'
_symmetry_Int_Tables_number 1
loop_
_symmetry_equiv_pos_as_xyz
'x,y,z'
loop_
_atom_site_label
_atom_site_fract_x
_atom_site_fract_y
_atom_site_fract_z
Zr1 0.000 0.000 0.000
Zr2 0.000 0.500 0.000
Zr3 0.500 0.000 0.000
Zr4 0.500 0.500 0.000
Al1 0.172 0.343 0.500
Al2 0.172 0.828 0.500
Al3 0.343 0.172 0.500
Al4 0.657 0.828 0.500
Al5 0.828 0.172 0.500
Al6 0.828 0.657 0.500
Cu1 0.333 0.667 0.500
Cu2 0.667 0.333 0.500

# 18
# Zr5AlCu2 | Alexandria via LeMat-Bulk | GGA-PBEsol | optimized geometry
# * theoretical density: 6860 kg/m³
# * space-group type: No. 139
# * ΔH_f (0 K): -1.695 eV/f.u.
data_Zr5AlCu2
_cell_length_a 8.591
_cell_length_b 8.591
_cell_length_c 8.591
_cell_angle_alpha 151.11
_cell_angle_beta 151.11
_cell_angle_gamma 41.32
_symmetry_space_group_name_H-M 'P 1'
_symmetry_Int_Tables_number 1
loop_
_symmetry_equiv_pos_as_xyz
'x,y,z'
loop_
_atom_site_label
_atom_site_fract_x
_atom_site_fract_y
_atom_site_fract_z
Zr1 0.000 0.000 0.000
Zr2 0.135 0.635 0.500
Zr3 0.365 0.865 0.500
Zr4 0.635 0.135 0.500
Zr5 0.865 0.365 0.500
Al1 0.500 0.500 0.000
Cu1 0.252 0.252 0.000
Cu2 0.748 0.748 0.000

# 19
# Zr2AlCu | Alexandria via LeMat-Bulk | GGA-PBEsol | optimized geometry
# * theoretical density: 6393 kg/m³
# * space-group type: No. 44
# * ΔH_f (0 K): -1.084 eV/f.u.
data_Zr2AlCu
_cell_length_a 5.531
_cell_length_b 5.531
_cell_length_c 5.531
_cell_angle_alpha 147.11
_cell_angle_beta 128.76
_cell_angle_gamma 62.24
_symmetry_space_group_name_H-M 'P 1'
_symmetry_Int_Tables_number 1
loop_
_symmetry_equiv_pos_as_xyz
'x,y,z'
loop_
_atom_site_label
_atom_site_fract_x
_atom_site_fract_y
_atom_site_fract_z
Zr1 0.000 0.000 0.000
Zr2 0.728 0.228 0.500
Al1 0.278 0.778 0.500
Cu1 0.480 0.480 0.000

# 20
# Zr6Al7Cu16 | Alexandria via LeMat-Bulk | GGA-PBEsol | optimized geometry
# * theoretical density: 7087 kg/m³
# * space-group type: No. 225
# * ΔH_f (0 K): -10.599 eV/f.u.
data_Zr6Al7Cu16
_cell_length_a 8.344
_cell_length_b 8.344
_cell_length_c 8.344
_cell_angle_alpha 60.00
_cell_angle_beta 60.00
_cell_angle_gamma 60.00
_symmetry_space_group_name_H-M 'P 1'
_symmetry_Int_Tables_number 1
loop_
_symmetry_equiv_pos_as_xyz
'x,y,z'
loop_
_atom_site_label
_atom_site_fract_x
_atom_site_fract_y
_atom_site_fract_z
Zr1 0.206 0.206 0.794
Zr2 0.206 0.794 0.206
Zr3 0.206 0.794 0.794
Zr4 0.794 0.206 0.206
Zr5 0.794 0.206 0.794
Zr6 0.794 0.794 0.206
Al1 0.000 0.000 0.500
Al2 0.000 0.500 0.000
Al3 0.000 0.500 0.500
Al4 0.500 0.000 0.000
Al5 0.500 0.000 0.500
Al6 0.500 0.500 0.000
Al7 0.500 0.500 0.500
Cu1 0.142 0.619 0.619
Cu2 0.171 0.171 0.171
Cu3 0.171 0.171 0.486
Cu4 0.171 0.486 0.171
Cu5 0.381 0.381 0.381
Cu6 0.381 0.381 0.858
Cu7 0.381 0.858 0.381
Cu8 0.486 0.171 0.171
Cu9 0.514 0.829 0.829
Cu10 0.619 0.142 0.619
Cu11 0.619 0.619 0.142
Cu12 0.619 0.619 0.619
Cu13 0.829 0.514 0.829
Cu14 0.829 0.829 0.514
Cu15 0.829 0.829 0.829
Cu16 0.858 0.381 0.381